Density functional theory data (GGA-PBE) for a relaxed structure of LiZn2Pt.

Lattice parameters (Å, degrees): 2.7997 3.8618 5.3225 90.00 91.78 90.00
Closest atoms and distances in Å follow each position.
Atoms (fractional coordinates):
Li 0.0000 0.0000 0.0000  6 Zn 2.55-2.78, 4 Pt 2.69-2.72, 2 Li 2.80
Zn 0.0090 0.0000 0.4784  2 Li 2.55-2.78, 4 Pt 2.69-2.71, 6 Zn 2.75-2.82
Zn 0.5020 0.5000 0.7480  2 Pt 2.62-2.70, 4 Li 2.71-2.76, 6 Zn 2.75-2.82
Pt 0.5029 0.5000 0.2405  6 Zn 2.62-2.71, 4 Li 2.69-2.72, 2 Pt 2.80

Properties
E_form: -414 meV per atom